Computed, not measured: crystalline Li2ErSc at its relaxed geometry at the PBE-GGA level of DFT.

Lattice parameters (Å, degrees): 3.5770 3.5770 7.1434 90.00 90.00 90.00
Fractional positions:
Sc (0.5000, 0.5000, 0.0000)
Li (0.0000, 0.0000, 0.2354)
Li (0.0000, 0.0000, 0.7646)
Er (0.5000, 0.5000, 0.5000)

Calculated values
Fermi-level density of states in states/eV per atom: 0.99
ΔE to the lowest computed polymorph in eV per formula unit: 0.000

---

Computed, not measured: crystalline LiEr2Sc at its relaxed geometry at the PBE-GGA level of DFT.

Lattice parameters (Å, degrees): 3.5368 3.5368 8.3737 90.00 90.00 90.00
Fractional positions:
Er (0.0000, 0.0000, 0.7616)
Er (0.0000, 0.0000, 0.2384)
Li (0.5000, 0.5000, 0.0000)
Sc (0.5000, 0.5000, 0.5000)

Calculated values
Fermi-level density of states in states/eV per atom: 1.43
ΔE to the lowest computed polymorph in eV per formula unit: 0.000

---

Computed, not measured: crystalline LiErSc at its relaxed geometry at the PBE-GGA level of DFT.

Lattice parameters (Å, degrees): 3.7260 3.7260 10.9267 90.00 90.00 90.00
Fractional positions:
Er (0.5000, 0.0000, 0.7528)
Er (0.0000, 0.5000, 0.2472)
Li (0.0000, 0.5000, 0.9356)
Li (0.5000, 0.0000, 0.0644)
Sc (0.0000, 0.5000, 0.5735)
Sc (0.5000, 0.0000, 0.4265)

Calculated values
Fermi-level density of states in states/eV per atom: 1.29
ΔE to the lowest computed polymorph in eV per formula unit: 0.000

---

Computed, not measured: crystalline Li2ErSc at its relaxed geometry at the PBE-GGA level of DFT.

Lattice parameters (Å, degrees): 5.0612 5.0612 5.0612 60.00 60.00 60.00
Fractional positions:
Li (0.7500, 0.7500, 0.7500)
Li (0.2500, 0.2500, 0.2500)
Er (0.0000, 0.0000, 0.0000)
Sc (0.5000, 0.5000, 0.5000)

Calculated values
Fermi-level density of states in states/eV per atom: 1.06
ΔE to the lowest computed polymorph in eV per formula unit: 0.013

---

Computed, not measured: crystalline LiEr3Sc2Se6 at its relaxed geometry at the PBE-GGA level of DFT.

Lattice parameters (Å, degrees): 3.9673 7.9065 8.8475 102.54 102.96 90.00
Fractional positions:
Li (0.5000, 0.0000, 0.0000)
Se (0.3320, 0.4204, 0.6641)
Se (0.6642, 0.0905, 0.3284)
Se (0.6680, 0.5796, 0.3359)
Se (0.9959, 0.7578, 0.9919)
Se (0.0041, 0.2422, 0.0081)
Se (0.3358, 0.9095, 0.6716)
Sc (0.1694, 0.3449, 0.3387)
Sc (0.8306, 0.6551, 0.6613)
Er (0.1651, 0.8299, 0.3302)
Er (0.8349, 0.1701, 0.6698)
Er (0.5000, 0.5000, 0.0000)

Calculated values
Fermi-level density of states in states/eV per atom: 0.36
Formation energy from raw total energies in eV/atom: -1.67

---

Computed, not measured: crystalline Li4Er3ScSe8 at its relaxed geometry at the PBE-GGA level of DFT.

Lattice parameters (Å, degrees): 7.9917 7.9505 7.9910 120.20 120.00 90.00
Fractional positions:
Er (0.5000, 0.5000, 0.5000)
Er (0.5000, 0.5000, 0.0000)
Er (0.0000, 0.5000, 0.5000)
Se (0.7583, 0.7478, 0.0032)
Se (0.2488, 0.2467, 0.4976)
Se (0.2449, 0.7478, 0.4898)
Se (0.2449, 0.7478, 0.0032)
Se (0.7551, 0.2522, 0.9968)
Se (0.7551, 0.2522, 0.5102)
Se (0.2417, 0.2522, 0.9968)
Se (0.7512, 0.7533, 0.5024)
Li (0.0000, 0.0000, 0.0000)
Li (0.5000, 0.0000, 0.0000)
Li (0.5000, 0.0000, 0.5000)
Li (0.0000, 0.0000, 0.5000)
Sc (0.0000, 0.5000, 0.0000)

Calculated values
Formation energy from raw total energies in eV/atom: -1.67

---

Computed, not measured: crystalline Li2Er3ScSe6 at its relaxed geometry at the PBE-GGA level of DFT.

Lattice parameters (Å, degrees): 6.8969 6.8969 6.8306 99.69 99.69 119.97
Fractional positions:
Se (0.9208, 0.5876, 0.7626)
Se (0.0792, 0.4124, 0.2374)
Se (0.4124, 0.0792, 0.2374)
Se (0.2530, 0.2530, 0.7598)
Se (0.5876, 0.9208, 0.7626)
Se (0.7470, 0.7470, 0.2402)
Li (0.3331, 0.6669, 0.0000)
Li (0.6669, 0.3331, 0.0000)
Sc (0.0000, 0.0000, 0.0000)
Er (0.8322, 0.1678, 0.5000)
Er (0.1678, 0.8322, 0.5000)
Er (0.5000, 0.5000, 0.5000)

Calculated values
Fermi-level density of states in states/eV per atom: 0.24
Formation energy from raw total energies in eV/atom: -1.69

---

Computed, not measured: crystalline LiEr2ScSe4 at its relaxed geometry at the PBE-GGA level of DFT.

Lattice parameters (Å, degrees): 3.9615 6.8181 6.9059 70.61 90.00 90.00
Fractional positions:
Se (0.0000, 0.2630, 0.2484)
Se (0.0000, 0.7370, 0.7516)
Se (0.5000, 0.7380, 0.2546)
Se (0.5000, 0.2620, 0.7454)
Li (0.0000, 0.5000, 0.5000)
Sc (0.5000, 0.5000, 0.0000)
Er (0.0000, 0.0000, 0.0000)
Er (0.5000, 0.0000, 0.5000)

Calculated values
Fermi-level density of states in states/eV per atom: 0.36
Formation energy from raw total energies in eV/atom: -1.68

---

Computed, not measured: crystalline Li3Er2ScSe6 at its relaxed geometry at the PBE-GGA level of DFT.

Lattice parameters (Å, degrees): 6.8976 6.8976 6.8609 99.65 99.65 120.01
Fractional positions:
Se (0.4064, 0.0830, 0.2490)
Se (0.0830, 0.4064, 0.2490)
Se (0.9170, 0.5936, 0.7510)
Se (0.7594, 0.7594, 0.2473)
Se (0.2406, 0.2406, 0.7527)
Se (0.5936, 0.9170, 0.7510)
Sc (0.0000, 0.0000, 0.0000)
Er (0.3333, 0.6667, 0.0000)
Er (0.6667, 0.3333, 0.0000)
Li (0.1661, 0.8339, 0.5000)
Li (0.8339, 0.1661, 0.5000)
Li (0.5000, 0.5000, 0.5000)

Calculated values
Fermi-level density of states in states/eV per atom: 0.00
Formation energy from raw total energies in eV/atom: -1.66

---

Computed, not measured: crystalline LiErSc4Se8 at its relaxed geometry at the PBE-GGA level of DFT.

Lattice parameters (Å, degrees): 7.9599 7.9599 8.0567 60.40 60.40 60.00
Fractional positions:
Sc (0.0062, 0.0062, 0.5066)
Sc (0.6272, 0.6272, 0.1185)
Sc (0.0062, 0.4811, 0.5066)
Sc (0.4811, 0.0062, 0.5066)
Se (0.7512, 0.2308, 0.2667)
Se (0.2502, 0.2502, 0.7330)
Se (0.7665, 0.2502, 0.7330)
Se (0.2427, 0.2427, 0.2719)
Se (0.7589, 0.7589, 0.7234)
Se (0.7512, 0.7512, 0.2667)
Se (0.2502, 0.7665, 0.7330)
Se (0.2308, 0.7512, 0.2667)
Er (0.0040, 0.0040, 0.9881)
Li (0.3737, 0.3737, 0.8790)

Calculated values
Formation energy from raw total energies in eV/atom: -1.65

---

Computed, not measured: crystalline Li3ErSc2Se6 at its relaxed geometry at the PBE-GGA level of DFT.

Lattice parameters (Å, degrees): 6.7989 6.7989 6.8255 99.57 99.57 120.01
Fractional positions:
Li (0.5000, 0.5000, 0.5000)
Li (0.1660, 0.8340, 0.5000)
Li (0.8340, 0.1660, 0.5000)
Se (0.7386, 0.7386, 0.2465)
Se (0.9181, 0.5745, 0.7548)
Se (0.0819, 0.4255, 0.2452)
Se (0.5745, 0.9181, 0.7548)
Se (0.4255, 0.0819, 0.2452)
Se (0.2614, 0.2614, 0.7535)
Sc (0.3331, 0.6669, 0.0000)
Sc (0.6669, 0.3331, 0.0000)
Er (0.0000, 0.0000, 0.0000)

Calculated values
Formation energy from raw total energies in eV/atom: -1.63

---

Computed, not measured: crystalline LiEr2Sc3Se6 at its relaxed geometry at the PBE-GGA level of DFT.

Lattice parameters (Å, degrees): 6.7957 6.7957 6.8381 99.58 99.58 120.05
Fractional positions:
Er (0.6654, 0.3346, 0.0000)
Er (0.3346, 0.6654, 0.0000)
Li (0.0000, 0.0000, 0.0000)
Se (0.5901, 0.9148, 0.7434)
Se (0.7620, 0.7620, 0.2538)
Se (0.4099, 0.0852, 0.2566)
Se (0.0852, 0.4099, 0.2566)
Se (0.2380, 0.2380, 0.7462)
Se (0.9148, 0.5901, 0.7434)
Sc (0.5000, 0.5000, 0.5000)
Sc (0.1668, 0.8332, 0.5000)
Sc (0.8332, 0.1668, 0.5000)

Calculated values
Fermi-level density of states in states/eV per atom: 0.50
Formation energy from raw total energies in eV/atom: -1.66

---

Computed, not measured: crystalline Li3ErSc4Se8 at its relaxed geometry at the PBE-GGA level of DFT.

Lattice parameters (Å, degrees): 7.7533 7.8566 7.7536 119.57 120.00 90.00
Fractional positions:
Sc (0.0000, 0.0000, 0.5000)
Sc (0.5000, 0.0000, 0.0000)
Sc (0.0000, 0.0000, 0.0000)
Sc (0.5000, 0.0000, 0.5000)
Li (0.0000, 0.5000, 0.5000)
Li (0.5000, 0.5000, 0.0000)
Li (0.5000, 0.5000, 0.5000)
Se (0.2540, 0.7543, 0.5080)
Se (0.2475, 0.2426, 0.4951)
Se (0.7460, 0.2457, 0.4920)
Se (0.7525, 0.7574, 0.5049)
Se (0.7462, 0.7543, 0.0002)
Se (0.7460, 0.2457, 0.9998)
Se (0.2540, 0.7543, 0.0002)
Se (0.2538, 0.2457, 0.9998)
Er (0.0000, 0.5000, 0.0000)

Calculated values
Fermi-level density of states in states/eV per atom: 0.30
Formation energy from raw total energies in eV/atom: -1.64

---

Computed, not measured: crystalline LiErScSi at its relaxed geometry at the PBE-GGA level of DFT.

Lattice parameters (Å, degrees): 4.7858 4.7858 4.7858 60.00 60.00 60.00
Fractional positions:
Sc (0.5000, 0.5000, 0.5000)
Si (0.7500, 0.7500, 0.7500)
Li (0.2500, 0.2500, 0.2500)
Er (0.0000, 0.0000, 0.0000)

Calculated values
Fermi-level density of states in states/eV per atom: 0.60
Formation energy from raw total energies in eV/atom: -0.38

---

Computed, not measured: crystalline LiSmErSc at its relaxed geometry at the PBE-GGA level of DFT.

Lattice parameters (Å, degrees): 5.3545 5.3545 5.3545 60.00 60.00 60.00
Fractional positions:
Er (0.7500, 0.7500, 0.7500)
Li (0.5000, 0.5000, 0.5000)
Sc (0.0000, 0.0000, 0.0000)
Sm (0.2500, 0.2500, 0.2500)

Calculated values
Fermi-level density of states in states/eV per atom: 1.01

---

Computed, not measured: crystalline LiTbErSc at its relaxed geometry at the PBE-GGA level of DFT.

Lattice parameters (Å, degrees): 5.3184 5.3184 5.3184 60.00 60.00 60.00
Fractional positions:
Tb (0.7500, 0.7500, 0.7500)
Er (0.2500, 0.2500, 0.2500)
Li (0.0000, 0.0000, 0.0000)
Sc (0.5000, 0.5000, 0.5000)

Calculated values
Fermi-level density of states in states/eV per atom: 1.00

---

Computed, not measured: crystalline LiEr2ScTe4 at its relaxed geometry at the PBE-GGA level of DFT.

Lattice parameters (Å, degrees): 4.2406 7.4042 7.3435 109.24 90.00 90.00
Fractional positions:
Li (0.0000, 0.0000, 0.0000)
Te (0.0000, 0.2515, 0.7629)
Te (0.0000, 0.7485, 0.2371)
Te (0.5000, 0.7555, 0.7626)
Te (0.5000, 0.2445, 0.2374)
Er (0.5000, 0.0000, 0.5000)
Er (0.0000, 0.5000, 0.5000)
Sc (0.5000, 0.5000, 0.0000)

Calculated values
Fermi-level density of states in states/eV per atom: 0.44
Formation energy from raw total energies in eV/atom: -1.23

---

Computed, not measured: crystalline LiEr3Sc3Te8 at its relaxed geometry at the PBE-GGA level of DFT.

Lattice parameters (Å, degrees): 8.4476 8.4473 8.4584 119.95 90.00 120.00
Fractional positions:
Li (0.0000, 0.0000, 0.5000)
Sc (0.0000, 0.5000, 0.5000)
Sc (0.5000, 0.5000, 0.5000)
Sc (0.5000, 0.0000, 0.5000)
Te (0.2540, 0.5079, 0.2618)
Te (0.7490, 0.4981, 0.2564)
Te (0.7460, 0.4921, 0.7382)
Te (0.2583, 0.0074, 0.2564)
Te (0.2510, 0.5019, 0.7436)
Te (0.2510, 0.9927, 0.7436)
Te (0.7417, 0.9926, 0.7436)
Te (0.7490, 0.0073, 0.2564)
Er (0.0000, 0.5000, 0.0000)
Er (0.0000, 0.0000, 0.0000)
Er (0.5000, 0.5000, 0.0000)

Calculated values
Fermi-level density of states in states/eV per atom: 0.35
Formation energy from raw total energies in eV/atom: -1.21

---

Computed, not measured: crystalline Li2ErSc3Te6 at its relaxed geometry at the PBE-GGA level of DFT.

Lattice parameters (Å, degrees): 7.2334 7.2334 7.3695 99.46 99.46 119.99
Fractional positions:
Li (0.6693, 0.3307, 0.0000)
Li (0.3307, 0.6693, 0.0000)
Er (0.0000, 0.0000, 0.0000)
Sc (0.5000, 0.5000, 0.5000)
Sc (0.1631, 0.8369, 0.5000)
Sc (0.8369, 0.1631, 0.5000)
Te (0.0848, 0.4243, 0.2546)
Te (0.7431, 0.7431, 0.2513)
Te (0.9152, 0.5757, 0.7454)
Te (0.4243, 0.0848, 0.2546)
Te (0.5757, 0.9152, 0.7454)
Te (0.2569, 0.2569, 0.7487)

Calculated values
Fermi-level density of states in states/eV per atom: 0.37
Formation energy from raw total energies in eV/atom: -1.20

---

Computed, not measured: crystalline LiErSc2Te4 at its relaxed geometry at the PBE-GGA level of DFT.

Lattice parameters (Å, degrees): 4.1923 7.2865 7.3512 109.01 90.00 90.00
Fractional positions:
Li (0.0000, 0.0000, 0.0000)
Te (0.5000, 0.2464, 0.2538)
Te (0.0000, 0.7589, 0.2561)
Te (0.5000, 0.7536, 0.7462)
Te (0.0000, 0.2411, 0.7439)
Er (0.5000, 0.5000, 0.0000)
Sc (0.0000, 0.5000, 0.5000)
Sc (0.5000, 0.0000, 0.5000)

Calculated values
Fermi-level density of states in states/eV per atom: 0.51
Formation energy from raw total energies in eV/atom: -1.20

---

Computed, not measured: crystalline Li3ErSc2Te6 at its relaxed geometry at the PBE-GGA level of DFT.

Lattice parameters (Å, degrees): 7.2981 7.2981 7.4074 99.46 99.46 120.01
Fractional positions:
Er (0.0000, 0.0000, 0.0000)
Te (0.7393, 0.7393, 0.2475)
Te (0.0826, 0.4257, 0.2470)
Te (0.2607, 0.2607, 0.7525)
Te (0.9174, 0.5743, 0.7530)
Te (0.4257, 0.0826, 0.2470)
Te (0.5743, 0.9174, 0.7530)
Li (0.8360, 0.1640, 0.5000)
Li (0.1640, 0.8360, 0.5000)
Li (0.5000, 0.5000, 0.5000)
Sc (0.6671, 0.3329, 0.0000)
Sc (0.3329, 0.6671, 0.0000)

Calculated values
Formation energy from raw total energies in eV/atom: -1.21

---

Computed, not measured: crystalline Li3Er2ScTe6 at its relaxed geometry at the PBE-GGA level of DFT.

Lattice parameters (Å, degrees): 7.3880 7.3880 7.4411 99.53 99.53 120.01
Fractional positions:
Te (0.5926, 0.9165, 0.7493)
Te (0.2402, 0.2402, 0.7503)
Te (0.9165, 0.5926, 0.7493)
Te (0.0835, 0.4074, 0.2507)
Te (0.4074, 0.0835, 0.2507)
Te (0.7598, 0.7598, 0.2497)
Li (0.1687, 0.8313, 0.5000)
Li (0.8313, 0.1687, 0.5000)
Li (0.5000, 0.5000, 0.5000)
Er (0.3336, 0.6664, 0.0000)
Er (0.6664, 0.3336, 0.0000)
Sc (0.0000, 0.0000, 0.0000)

Calculated values
Formation energy from raw total energies in eV/atom: -1.24

---

| no. | raw total energy (eV per atom) |
| --- | --- |
| 1 | -3.493 |
| 2 | -4.256 |
| 3 | -4.201 |
| 4 | -3.490 |
| 5 | -5.773 |
| 6 | -5.139 |
| 7 | -5.418 |
| 8 | -5.597 |
| 9 | -5.169 |
| 10 | -5.917 |
| 11 | -5.283 |
| 12 | -5.900 |
| 13 | -5.606 |
| 14 | -4.936 |
| 15 | -4.230 |
| 16 | -4.205 |
| 17 | -4.976 |
| 18 | -5.197 |
| 19 | -5.054 |
| 20 | -5.160 |
| 21 | -4.694 |
| 22 | -4.581 |